VASP calculation (GGA-PBE) on a relaxed structure of AlCdGa.

As for the total DFT energy (no corrections): -2.46 eV per atom. For the relative energy among the computed polymorphs, the calculation gives 42 meV/atom. The density of states at the Fermi level comes out at 0.39 states/eV/atom. As for the energy of formation: 0.10 eV per atom.

Cell: 2.929 4.671 8.677 Å, 90.00 90.50 90.00°
Sites, in units of the cell vectors:
Al 0.000 0.000 0.000
Al 0.475 0.000 0.714
Cd 0.440 0.000 0.353
Cd 0.947 0.500 0.556
Ga 0.500 0.500 0.899
Ga 0.972 0.500 0.192

VASP calculation (GGA-PBE) on a relaxed structure of Al3CdGa3.

As for the total DFT energy (no corrections): -2.57 eV per atom. The density of states at the Fermi level comes out at 0.42 states/eV/atom. As for the energy of formation: 0.46 eV per atom.

Cell: 7.195 7.195 7.195 Å, 90.00 90.00 90.00°
Sites, in units of the cell vectors:
Al 0.000 0.250 0.500
Al 0.000 0.750 0.500
Al 0.250 0.500 0.000
Al 0.500 0.000 0.250
Al 0.500 0.000 0.750
Al 0.750 0.500 0.000
Cd 0.000 0.000 0.000
Cd 0.500 0.500 0.500
Ga 0.000 0.500 0.250
Ga 0.000 0.500 0.750
Ga 0.250 0.000 0.500
Ga 0.500 0.250 0.000
Ga 0.500 0.750 0.000
Ga 0.750 0.000 0.500

VASP calculation (GGA-PBE) on a relaxed structure of AlCdGa.

As for the total DFT energy (no corrections): -2.45 eV per atom. For the relative energy among the computed polymorphs, the calculation gives 59 meV/atom. The density of states at the Fermi level comes out at 0.46 states/eV/atom. As for the energy of formation: 0.11 eV per atom.

Cell: 4.499 4.499 4.499 Å, 60.00 60.00 60.00°
Sites, in units of the cell vectors:
Al 0.000 0.000 0.000
Cd 0.500 0.500 0.500
Ga 0.250 0.250 0.250